# TaGaNi, relaxed, DFT PBE
data_TaGaNi
_space_group_name_H-M_alt 'P 1'
_space_group_IT_number 1
_space_group_name_Hall 'P 1'
_cell_length_a 2.8751
_cell_length_b 4.1775
_cell_length_c 4.1775
_cell_angle_alpha 120.00
_cell_angle_beta 90.00
_cell_angle_gamma 90.00
loop_
_atom_site_label
_atom_site_type_symbol
_atom_site_fract_x
_atom_site_fract_y
_atom_site_fract_z
Ni1 Ni 0.1667 0.6667 0.3333
Ga1 Ga 0.1666 0.0000 0.0000
Ta1 Ta 0.6667 0.3333 0.6667
# E   -21.6 eV/cell
# D(E_F)   2.34 states/eV/cell
# Calculated formation energy   -0.299 eV/atom